i | DFT (PBE-GGA) results for a geometry-optimized Y2URu3 structure.

Cell lengths 3.3243, 5.5793, 13.6992 Å; angles 90.00, 90.00, 90.00 degrees
Last column: nearest neighbours and their distance in Å.
Space group Immm (No. 71)
One atom of each set of equivalent atoms:
Y1 0.0000 0.0000 0.1684  6 Ru 2.81-3.08
U1 0.0000 0.0000 0.5000  6 Ru 2.57-2.79
Ru1 0.0000 0.5000 0.1426  2 U 2.57, 2 Y 2.81
Ru2 0.0000 0.5000 0.5000  2 U 2.79, 4 Y 2.84

ii | DFT (PBE-GGA) results for a geometry-optimized Y2URu3 structure.

Cell lengths 10.3841, 4.0514, 7.4050 Å; angles 90.00, 126.45, 90.00 degrees
Last column: nearest neighbours and their distance in Å.
Space group Cm (No. 8)
One atom of each set of equivalent atoms:
Y1 0.0000 0.0000 0.0000  7 Ru 3.02-3.15, 2 U 3.21
Y2 0.1540 0.0000 0.7009  7 Ru 2.99-3.20
U1 0.2359 0.5000 0.4017  2 Ru 2.31-2.36
Ru1 0.2552 0.5000 0.0994  1 U 2.36
Ru2 0.4211 0.0000 0.6453  2 U 2.63, 1 Ru 2.90
Ru3 0.4804 0.0000 0.3094  1 U 2.31

Which of them is the most stable? Correct choice: ii.